Here is an optimized crystal structure of Rb2CdAg2Cl6 from Alexandria. Energies are from PBE.

Cell and atoms, written as CIF:
```
data_Rb2CdAg2Cl6
_chemical_formula_sum 'Rb6 Cd3 Ag6 Cl18'
_cell_length_a 7.8528
_cell_length_b 7.8528
_cell_length_c 19.7608
_cell_angle_alpha 90.00
_cell_angle_beta 90.00
_cell_angle_gamma 120.00
_space_group_name_H-M_alt 'R -3 m'
_space_group_IT_number 166
_space_group_name_Hall '-R 3 2"'
loop_
_atom_site_label
_atom_site_type_symbol
_atom_site_fract_x
_atom_site_fract_y
_atom_site_fract_z
Rb1 Rb 0.0000 0.0000 0.2223
Cd1 Cd 0.0000 0.0000 0.0000
Ag1 Ag 0.0000 0.0000 0.4236
Cl1 Cl 0.0318 0.5159 0.7521
```

Results
VASP energy ... -2.92 eV/atom
Formation energy (no corrections) ... -1206 kJ/mol of formula units
Crystal system ... trigonal

=====

Here is an optimized crystal structure of Rb2CdAgCl6 from Alexandria. Energies are from PBE.

Cell and atoms, written as CIF:
```
data_Rb2CdAgCl6
_chemical_formula_sum 'Rb4 Cd2 Ag2 Cl12'
_cell_length_a 7.404
_cell_length_b 7.404
_cell_length_c 10.430
_cell_angle_alpha 90.00
_cell_angle_beta 90.00
_cell_angle_gamma 90.00
_space_group_name_H-M_alt 'I 4/m m m'
_space_group_IT_number 139
_space_group_name_Hall '-I 4 2'
loop_
_atom_site_label
_atom_site_type_symbol
_atom_site_fract_x
_atom_site_fract_y
_atom_site_fract_z
Rb1 Rb 0.000 0.500 0.250
Cd1 Cd 0.000 0.000 0.000
Ag1 Ag 0.000 0.000 0.500
Cl1 Cl 0.000 0.000 0.252
Cl2 Cl 0.250 0.250 0.000
```

Results
VASP energy ... -2.89 eV/atom
Formation energy (no corrections) ... -1172 kJ/mol of formula units
Crystal system ... tetragonal

=====

Here is an optimized crystal structure of CdAgS2Cl from Alexandria. Energies are from PBE.

Cell and atoms, written as CIF:
```
data_CdAgS2Cl
_chemical_formula_sum 'Cd1 Ag1 S2 Cl1'
_cell_length_a 4.896
_cell_length_b 4.896
_cell_length_c 4.891
_cell_angle_alpha 90.00
_cell_angle_beta 90.00
_cell_angle_gamma 90.00
_space_group_name_H-M_alt 'P 4/m m m'
_space_group_IT_number 123
_space_group_name_Hall '-P 4 2'
loop_
_atom_site_label
_atom_site_type_symbol
_atom_site_fract_x
_atom_site_fract_y
_atom_site_fract_z
Cd1 Cd 0.000 0.000 0.000
Ag1 Ag 0.500 0.500 0.500
S1 S 0.000 0.500 0.500
Cl1 Cl 0.500 0.500 0.000
```

Results
VASP energy ... -2.44 eV/atom
Formation energy (no corrections) ... 159 kJ/mol of formula units
Crystal system ... tetragonal
E above lowest polymorph ... 0.0 kJ per mole of atoms